[1]
VASP calculation (GGA-PBE) on a geometry-optimized LiTl2CdBi2 structure.

The calculation puts the total magnetization at 0.0 μB/f.u. As for the density: 8.732 Mg/m³. The symmetry is Ibam. The total DFT energy (no corrections) comes out at -2.667 eV per atom. As for the formation energy: -112.8 meV per atom.

extended XYZ file:
```
12
Lattice="-5.349 -1.911 -3.303 3.493 -0.023 -5.643 2.954 -6.928 5.759" Properties=species:S:1:pos:R:3 pbc="T T T"
Li 2.620 -0.017 -4.232
Li 0.873 -0.006 -1.411
Tl -0.685 -3.255 -0.411
Tl 1.784 -5.607 -2.776
Tl 2.600 -4.680 1.628
Tl -1.501 -4.182 -4.815
Cd -0.054 -0.973 -5.884
Cd -1.801 -0.961 -3.062
Bi -3.595 -3.314 -2.212
Bi 0.948 -2.327 -3.307
Bi 0.151 -6.535 0.120
Bi 4.694 -5.547 -0.975
```

[2]
VASP calculation (GGA-PBE) on a geometry-optimized Li2TlCd2Bi2 structure.

The calculation puts the total magnetization at 0.0 μB/f.u. As for the density: 7.560 Mg/m³. The symmetry is R-3m. The total DFT energy (no corrections) comes out at -2.461 eV per atom. As for the formation energy: -206.2 meV per atom.

extended XYZ file:
```
7
Lattice="4.920 0.000 0.000 2.460 4.261 0.000 2.460 1.420 9.023" Properties=species:S:1:pos:R:3 pbc="T T T"
Li 2.460 1.420 5.194
Li 7.380 4.261 3.829
Tl 0.000 0.000 0.000
Cd 4.920 2.840 3.053
Cd 4.920 2.840 5.970
Bi 7.380 4.261 6.925
Bi 2.460 1.420 2.098
```